Entry 1:
Material: KNa2CuSi
Method: DFT, PBE-GGA
State: relaxed

Geometry as CIF:
```
data_KNa2CuSi
_chemical_formula_sum 'K1 Na2 Cu1 Si1'
_cell_length_a 5.692
_cell_length_b 5.692
_cell_length_c 4.553
_cell_angle_alpha 90.00
_cell_angle_beta 90.00
_cell_angle_gamma 90.00
_symmetry_space_group_name_H-M 'P 1'
_symmetry_Int_Tables_number 1
_symmetry_space_group_name_Hall 'P 1'
loop_
_atom_site_label
_atom_site_fract_x
_atom_site_fract_y
_atom_site_fract_z
K1 0.000 0.000 0.000
Na1 0.000 0.500 0.500
Na2 0.500 0.000 0.500
Cu1 0.500 0.500 0.000
Si1 0.500 0.500 0.500
```

Relative energy among the computed polymorphs (kJ/mol of formula units): 2
Density of states at the Fermi level (states/eV/cell): 1.031
Formation energy from raw total energies (kJ per mole of atoms): 11
Space-group type: P4/mmm
Energy (eV/atom): -2.53

Entry 2:
Material: Nd8HgGe3Te4
Method: DFT, PBE-GGA
State: relaxed

Geometry as CIF:
```
data_Nd8HgGe3Te4
_chemical_formula_sum 'Nd8 Hg1 Ge3 Te4'
_cell_length_a 8.934
_cell_length_b 8.934
_cell_length_c 8.934
_cell_angle_alpha 59.00
_cell_angle_beta 59.00
_cell_angle_gamma 59.00
_symmetry_space_group_name_H-M 'P 1'
_symmetry_Int_Tables_number 1
_symmetry_space_group_name_Hall 'P 1'
loop_
_atom_site_label
_atom_site_fract_x
_atom_site_fract_y
_atom_site_fract_z
Nd1 0.233 0.751 0.751
Nd2 0.241 0.241 0.241
Nd3 0.249 0.249 0.767
Nd4 0.249 0.767 0.249
Nd5 0.751 0.233 0.751
Nd6 0.751 0.751 0.233
Nd7 0.759 0.759 0.759
Nd8 0.767 0.249 0.249
Hg1 0.500 0.500 0.500
Ge1 0.000 0.000 0.500
Ge2 0.000 0.500 0.000
Ge3 0.500 0.000 0.000
Te1 0.000 0.000 0.000
Te2 0.000 0.500 0.500
Te3 0.500 0.000 0.500
Te4 0.500 0.500 0.000
```

Density of states at the Fermi level (states/eV/cell): 8.905
Formation energy from raw total energies (kJ per mole of atoms): -109
Space-group type: R-3m
Energy (eV/atom): -5.18

Entry 3:
Material: CsRb2Cd2
Method: DFT, PBE-GGA
State: relaxed

Geometry as CIF:
```
data_CsRb2Cd2
_chemical_formula_sum 'Cs1 Rb2 Cd2'
_cell_length_a 8.415
_cell_length_b 8.415
_cell_length_c 8.415
_cell_angle_alpha 132.61
_cell_angle_beta 132.61
_cell_angle_gamma 69.26
_symmetry_space_group_name_H-M 'P 1'
_symmetry_Int_Tables_number 1
_symmetry_space_group_name_Hall 'P 1'
loop_
_atom_site_label
_atom_site_fract_x
_atom_site_fract_y
_atom_site_fract_z
Cs1 0.000 0.000 0.000
Rb1 0.351 0.351 0.000
Rb2 0.649 0.649 0.000
Cd1 0.250 0.750 0.500
Cd2 0.750 0.250 0.500
```

Relative energy among the computed polymorphs (kJ/mol of formula units): 62
Density of states at the Fermi level (states/eV/cell): 2.994
Space-group type: I4/mmm
Energy (eV/atom): -0.83

Entry 4:
Material: ScPdPb2
Method: DFT, PBE-GGA
State: relaxed

Geometry as CIF:
```
data_ScPdPb2
_chemical_formula_sum 'Sc1 Pd1 Pb2'
_cell_length_a 10.391
_cell_length_b 10.391
_cell_length_c 10.391
_cell_angle_alpha 18.81
_cell_angle_beta 18.81
_cell_angle_gamma 18.81
_symmetry_space_group_name_H-M 'P 1'
_symmetry_Int_Tables_number 1
_symmetry_space_group_name_Hall 'P 1'
loop_
_atom_site_label
_atom_site_fract_x
_atom_site_fract_y
_atom_site_fract_z
Sc1 0.000 0.000 0.000
Pd1 0.500 0.500 0.500
Pb1 0.097 0.097 0.097
Pb2 0.903 0.903 0.903
```

Relative energy among the computed polymorphs (kJ/mol of formula units): 120
Density of states at the Fermi level (states/eV/cell): 3.250
Space-group type: R-3m
Energy (eV/atom): -4.74

Entry 5:
Material: NdTcO4F
Method: DFT, PBE-GGA
State: relaxed

Geometry as CIF:
```
data_NdTcO4F
_chemical_formula_sum 'Nd2 Tc2 O8 F2'
_cell_length_a 6.194
_cell_length_b 6.194
_cell_length_c 7.063
_cell_angle_alpha 102.40
_cell_angle_beta 102.40
_cell_angle_gamma 73.91
_symmetry_space_group_name_H-M 'P 1'
_symmetry_Int_Tables_number 1
_symmetry_space_group_name_Hall 'P 1'
loop_
_atom_site_label
_atom_site_fract_x
_atom_site_fract_y
_atom_site_fract_z
Nd1 0.202 0.202 0.095
Nd2 0.798 0.798 0.905
Tc1 0.354 0.354 0.710
Tc2 0.646 0.646 0.290
O1 0.117 0.475 0.848
O2 0.255 0.255 0.464
O3 0.463 0.463 0.236
O4 0.475 0.117 0.848
O5 0.525 0.883 0.152
O6 0.537 0.537 0.764
O7 0.745 0.745 0.536
O8 0.883 0.525 0.152
F1 0.011 0.011 0.823
F2 0.989 0.989 0.177
```

Density of states at the Fermi level (states/eV/cell): 6.105
Formation energy from raw total energies (kJ per mole of atoms): -229
Space-group type: C2/m
Energy (eV/atom): -7.64

Entry 6:
Material: Ag4O2F
Method: DFT, PBE-GGA
State: relaxed

Geometry as CIF:
```
data_Ag4O2F
_chemical_formula_sum 'Ag8 O4 F2'
_cell_length_a 6.135
_cell_length_b 6.037
_cell_length_c 6.360
_cell_angle_alpha 90.00
_cell_angle_beta 108.35
_cell_angle_gamma 90.00
_symmetry_space_group_name_H-M 'P 1'
_symmetry_Int_Tables_number 1
_symmetry_space_group_name_Hall 'P 1'
loop_
_atom_site_label
_atom_site_fract_x
_atom_site_fract_y
_atom_site_fract_z
Ag1 0.049 0.250 0.430
Ag2 0.061 0.750 0.164
Ag3 0.428 0.008 0.742
Ag4 0.428 0.492 0.742
Ag5 0.572 0.508 0.258
Ag6 0.572 0.992 0.258
Ag7 0.939 0.250 0.836
Ag8 0.951 0.750 0.570
O1 0.286 0.750 0.509
O2 0.380 0.750 0.035
O3 0.620 0.250 0.965
O4 0.714 0.250 0.491
F1 0.207 0.250 0.160
F2 0.793 0.750 0.840
```

Density of states at the Fermi level (states/eV/cell): 6.538
Formation energy from raw total energies (kJ per mole of atoms): -24
Space-group type: P2_1/m
Energy (eV/atom): -3.56